No. 1
DFT (PBE) results for a geometry-optimized LaAsOs2 structure.

Cell and atoms, written as POSCAR:
```
LaAsOs2
1.0
3.954 0.000 0.000
0.000 4.555 0.000
0.000 0.000 5.236
La As Os
1 1 2
Cartesian
0.000 0.000 0.000
0.000 2.277 2.618
1.977 2.277 1.183
1.977 2.277 4.053
```

Values from the calculation:
The total magnetic moment comes out at 0.000 μB/f.u. The value obtained for the total energy is -31.89 eV for the cell shown.

=====

No. 2
DFT (PBE) results for a geometry-optimized Re3BiB structure.

Cell and atoms, written as POSCAR:
```
Re3BiB
1.0
4.274 0.000 0.000
0.000 4.274 0.000
0.000 0.000 4.274
Re Bi B
3 1 1
Cartesian
0.000 0.000 2.137
0.000 2.137 0.000
2.137 0.000 0.000
2.137 2.137 2.137
0.000 0.000 0.000
```

Values from the calculation:
The total magnetic moment comes out at 2.101 μB/f.u. Its relative energy among the computed polymorphs is 0.0 meV per atom. The value obtained for the total energy is -44.08 eV for the cell shown.